Entry w
# SnPH | Alexandria | GGA-PBE | optimized geometry
# Crystal system: tetragonal
# Size of the total moment, μB/cell: 0.00
data_SnPH
_symmetry_space_group_name_H-M 'I 4 m m'
_symmetry_Int_Tables_number 107
_symmetry_space_group_name_Hall 'I 4 -2'
_cell_length_a 3.968
_cell_length_b 3.968
_cell_length_c 6.470
_cell_angle_alpha 90.00
_cell_angle_beta 90.00
_cell_angle_gamma 90.00
loop_
_atom_site_label
_atom_site_fract_x
_atom_site_fract_y
_atom_site_fract_z
_atom_site_occupancy
Sn1 0.000 0.000 0.000 1
P1 0.000 0.000 0.557 1
H1 0.000 0.000 0.316 1

=====

Entry x
# SnPH | Alexandria | GGA-PBE | optimized geometry
# Crystal system: triclinic
# Size of the total moment, μB/cell: 0.00
data_SnPH
_symmetry_space_group_name_H-M 'P -1'
_symmetry_Int_Tables_number 2
_symmetry_space_group_name_Hall '-P 1'
_cell_length_a 3.987
_cell_length_b 5.602
_cell_length_c 5.919
_cell_angle_alpha 95.22
_cell_angle_beta 90.00
_cell_angle_gamma 90.22
loop_
_atom_site_label
_atom_site_fract_x
_atom_site_fract_y
_atom_site_fract_z
_atom_site_occupancy
Sn1 0.249 0.336 0.299 1
P1 0.249 0.392 0.750 1
H1 0.248 0.035 0.202 1

=====

Entry y
# SnPH | Alexandria | GGA-PBE | optimized geometry
# Crystal system: monoclinic
# Size of the total moment, μB/cell: 0.00
data_SnPH
_symmetry_space_group_name_H-M 'C 1 2/m 1'
_symmetry_Int_Tables_number 12
_symmetry_space_group_name_Hall '-C 2y'
_cell_length_a 9.412
_cell_length_b 4.251
_cell_length_c 5.283
_cell_angle_alpha 90.00
_cell_angle_beta 91.91
_cell_angle_gamma 90.00
loop_
_atom_site_label
_atom_site_fract_x
_atom_site_fract_y
_atom_site_fract_z
_atom_site_occupancy
Sn1 0.181 0.000 0.250 1
P1 0.001 0.500 0.799 1
H1 0.195 0.000 0.905 1

=====

Which one sits at the bottom of the stability order? entry y does.

=====

Entry w
# Ta2PH | Alexandria | GGA-PBE | optimized geometry
# Crystal system: monoclinic
# Size of the total moment, μB/cell: 0.00
data_Ta2PH
_symmetry_space_group_name_H-M 'P 1 m 1'
_symmetry_Int_Tables_number 6
_symmetry_space_group_name_Hall 'P -2y'
_cell_length_a 4.904
_cell_length_b 3.353
_cell_length_c 6.342
_cell_angle_alpha 90.00
_cell_angle_beta 91.11
_cell_angle_gamma 90.00
loop_
_atom_site_label
_atom_site_fract_x
_atom_site_fract_y
_atom_site_fract_z
_atom_site_occupancy
Ta1 0.000 0.000 0.000 1
Ta2 0.243 0.000 0.515 1
Ta3 0.487 0.500 0.169 1
Ta4 0.749 0.500 0.646 1
P1 0.498 0.000 0.865 1
P2 0.963 0.500 0.299 1
H1 0.148 0.500 0.673 1
H2 0.175 0.500 0.954 1

=====

Entry x
# Ta2PH | Alexandria | GGA-PBE | optimized geometry
# Crystal system: monoclinic
# Size of the total moment, μB/cell: 0.00
data_Ta2PH
_symmetry_space_group_name_H-M 'C 1 m 1'
_symmetry_Int_Tables_number 8
_symmetry_space_group_name_Hall 'C -2y'
_cell_length_a 6.760
_cell_length_b 6.690
_cell_length_c 4.920
_cell_angle_alpha 90.00
_cell_angle_beta 110.23
_cell_angle_gamma 90.00
loop_
_atom_site_label
_atom_site_fract_x
_atom_site_fract_y
_atom_site_fract_z
_atom_site_occupancy
Ta1 0.000 0.000 0.000 1
Ta2 0.005 0.500 0.998 1
Ta3 0.153 0.244 0.603 1
P1 0.301 0.246 0.193 1
H1 0.122 0.500 0.414 1
H2 0.490 0.500 0.607 1

=====

Entry y
# Ta2PH | Alexandria | GGA-PBE | optimized geometry
# Crystal system: monoclinic
# Size of the total moment, μB/cell: 0.00
data_Ta2PH
_symmetry_space_group_name_H-M 'P 1 m 1'
_symmetry_Int_Tables_number 6
_symmetry_space_group_name_Hall 'P -2y'
_cell_length_a 4.907
_cell_length_b 3.419
_cell_length_c 6.649
_cell_angle_alpha 90.00
_cell_angle_beta 109.55
_cell_angle_gamma 90.00
loop_
_atom_site_label
_atom_site_fract_x
_atom_site_fract_y
_atom_site_fract_z
_atom_site_occupancy
Ta1 0.000 0.000 0.000 1
Ta2 0.004 0.000 0.496 1
Ta3 0.391 0.500 0.340 1
Ta4 0.412 0.500 0.857 1
P1 0.573 0.000 0.637 1
P2 0.809 0.500 0.203 1
H1 0.042 0.275 0.758 1

=====

Entry z
# Ta2PH | Alexandria | GGA-PBE | optimized geometry
# Crystal system: tetragonal
# Size of the total moment, μB/cell: 0.00
data_Ta2PH
_symmetry_space_group_name_H-M 'I -4 2 d'
_symmetry_Int_Tables_number 122
_symmetry_space_group_name_Hall 'I -4 2bw'
_cell_length_a 5.963
_cell_length_b 5.963
_cell_length_c 5.837
_cell_angle_alpha 90.00
_cell_angle_beta 90.00
_cell_angle_gamma 90.00
loop_
_atom_site_label
_atom_site_fract_x
_atom_site_fract_y
_atom_site_fract_z
_atom_site_occupancy
Ta1 0.177 0.250 0.125 1
P1 0.000 0.000 0.500 1
H1 0.000 0.000 0.000 1

=====

Which one sits at the bottom of the stability order? entry z does.

=====

Entry w
# Ta2PH | Alexandria | GGA-PBE | optimized geometry
# Crystal system: monoclinic
# Size of the total moment, μB/cell: 0.00
data_Ta2PH
_symmetry_space_group_name_H-M 'C 1 m 1'
_symmetry_Int_Tables_number 8
_symmetry_space_group_name_Hall 'C -2y'
_cell_length_a 6.738
_cell_length_b 6.701
_cell_length_c 4.927
_cell_angle_alpha 90.00
_cell_angle_beta 110.09
_cell_angle_gamma 90.00
loop_
_atom_site_label
_atom_site_fract_x
_atom_site_fract_y
_atom_site_fract_z
_atom_site_occupancy
Ta1 0.000 0.000 0.000 1
Ta2 0.001 0.500 0.995 1
Ta3 0.155 0.258 0.600 1
P1 0.300 0.246 0.191 1
H1 0.100 0.000 0.418 1
H2 0.322 0.500 0.599 1

=====

Entry x
# Ta2PH | Alexandria | GGA-PBE | optimized geometry
# Crystal system: monoclinic
# Size of the total moment, μB/cell: 0.00
data_Ta2PH
_symmetry_space_group_name_H-M 'P 1 m 1'
_symmetry_Int_Tables_number 6
_symmetry_space_group_name_Hall 'P -2y'
_cell_length_a 3.405
_cell_length_b 3.316
_cell_length_c 4.900
_cell_angle_alpha 90.00
_cell_angle_beta 110.32
_cell_angle_gamma 90.00
loop_
_atom_site_label
_atom_site_fract_x
_atom_site_fract_y
_atom_site_fract_z
_atom_site_occupancy
Ta1 0.000 0.000 0.000 1
Ta2 0.304 0.500 0.599 1
P1 0.599 0.500 0.195 1
H1 0.625 0.000 0.606 1

=====

Which one sits at the bottom of the stability order? entry w does.

=====

Entry w
# Ta2PH | Alexandria | GGA-PBE | optimized geometry
# Crystal system: trigonal
# Size of the total moment, μB/cell: 0.00
data_Ta2PH
_symmetry_space_group_name_H-M 'R -3 m'
_symmetry_Int_Tables_number 166
_symmetry_space_group_name_Hall '-R 3 2"'
_cell_length_a 3.4637
_cell_length_b 3.4637
_cell_length_c 18.6803
_cell_angle_alpha 90.00
_cell_angle_beta 90.00
_cell_angle_gamma 120.00
loop_
_atom_site_label
_atom_site_fract_x
_atom_site_fract_y
_atom_site_fract_z
_atom_site_occupancy
Ta1 0.0000 0.0000 0.0955 1
P1 0.0000 0.0000 0.5000 1
H1 0.0000 0.0000 0.0000 1

=====

Entry x
# Ta2PH | Alexandria | GGA-PBE | optimized geometry
# Crystal system: cubic
# Size of the total moment, μB/cell: 0.00
data_Ta2PH
_symmetry_space_group_name_H-M 'F m -3 m'
_symmetry_Int_Tables_number 225
_symmetry_space_group_name_Hall '-F 4 2 3'
_cell_length_a 5.968
_cell_length_b 5.968
_cell_length_c 5.968
_cell_angle_alpha 90.00
_cell_angle_beta 90.00
_cell_angle_gamma 90.00
loop_
_atom_site_label
_atom_site_fract_x
_atom_site_fract_y
_atom_site_fract_z
_atom_site_occupancy
Ta1 0.250 0.250 0.250 1
P1 0.000 0.000 0.000 1
H1 0.000 0.000 0.500 1

=====

Which one sits at the bottom of the stability order? entry x does.

=====

Entry w
# Ta2PH | Alexandria | GGA-PBE | optimized geometry
# Crystal system: orthorhombic
# Size of the total moment, μB/cell: 0.00
data_Ta2PH
_symmetry_space_group_name_H-M 'A m m 2'
_symmetry_Int_Tables_number 38
_symmetry_space_group_name_Hall 'A 2 -2'
_cell_length_a 3.378
_cell_length_b 3.360
_cell_length_c 9.276
_cell_angle_alpha 90.00
_cell_angle_beta 90.00
_cell_angle_gamma 90.00
loop_
_atom_site_label
_atom_site_fract_x
_atom_site_fract_y
_atom_site_fract_z
_atom_site_occupancy
Ta1 0.000 0.000 0.000 1
Ta2 0.500 0.000 0.304 1
P1 0.500 0.000 0.596 1
H1 0.000 0.000 0.207 1

=====

Entry x
# Ta2PH | Alexandria | GGA-PBE | optimized geometry
# Crystal system: monoclinic
# Size of the total moment, μB/cell: 0.00
data_Ta2PH
_symmetry_space_group_name_H-M 'C 1 m 1'
_symmetry_Int_Tables_number 8
_symmetry_space_group_name_Hall 'C -2y'
_cell_length_a 6.817
_cell_length_b 6.620
_cell_length_c 4.898
_cell_angle_alpha 90.00
_cell_angle_beta 110.33
_cell_angle_gamma 90.00
loop_
_atom_site_label
_atom_site_fract_x
_atom_site_fract_y
_atom_site_fract_z
_atom_site_occupancy
Ta1 0.000 0.000 0.000 1
Ta2 0.008 0.500 0.006 1
Ta3 0.354 0.253 0.402 1
P1 0.205 0.249 0.808 1
H1 0.015 0.500 0.399 1
H2 0.190 0.000 0.394 1

=====

Which one sits at the bottom of the stability order? entry w does.

=====

Entry w
# TaPH3 | Alexandria | GGA-PBE | optimized geometry
# Crystal system: cubic
# Size of the total moment, μB/cell: 0.00
data_TaPH3
_symmetry_space_group_name_H-M 'P m -3 m'
_symmetry_Int_Tables_number 221
_symmetry_space_group_name_Hall '-P 4 2 3'
_cell_length_a 3.380
_cell_length_b 3.380
_cell_length_c 3.380
_cell_angle_alpha 90.00
_cell_angle_beta 90.00
_cell_angle_gamma 90.00
loop_
_atom_site_label
_atom_site_fract_x
_atom_site_fract_y
_atom_site_fract_z
_atom_site_occupancy
Ta1 0.000 0.000 0.000 1
P1 0.500 0.500 0.500 1
H1 0.000 0.500 0.500 1

=====

Entry x
# TaPH3 | Alexandria | GGA-PBE | optimized geometry
# Crystal system: cubic
# Size of the total moment, μB/cell: 0.00
data_TaPH3
_symmetry_space_group_name_H-M 'P m -3 m'
_symmetry_Int_Tables_number 221
_symmetry_space_group_name_Hall '-P 4 2 3'
_cell_length_a 3.593
_cell_length_b 3.593
_cell_length_c 3.593
_cell_angle_alpha 90.00
_cell_angle_beta 90.00
_cell_angle_gamma 90.00
loop_
_atom_site_label
_atom_site_fract_x
_atom_site_fract_y
_atom_site_fract_z
_atom_site_occupancy
Ta1 0.000 0.000 0.000 1
P1 0.500 0.500 0.500 1
H1 0.000 0.000 0.500 1

=====

Which one sits at the bottom of the stability order? entry w does.

=====

Entry w
# TaP2H | Alexandria | GGA-PBE | optimized geometry
# Crystal system: cubic
# Size of the total moment, μB/cell: 0.00
data_TaP2H
_symmetry_space_group_name_H-M 'F m -3 m'
_symmetry_Int_Tables_number 225
_symmetry_space_group_name_Hall '-F 4 2 3'
_cell_length_a 6.014
_cell_length_b 6.014
_cell_length_c 6.014
_cell_angle_alpha 90.00
_cell_angle_beta 90.00
_cell_angle_gamma 90.00
loop_
_atom_site_label
_atom_site_fract_x
_atom_site_fract_y
_atom_site_fract_z
_atom_site_occupancy
Ta1 0.000 0.000 0.000 1
P1 0.250 0.250 0.250 1
H1 0.000 0.000 0.500 1

=====

Entry x
# TaP2H | Alexandria | GGA-PBE | optimized geometry
# Crystal system: tetragonal
# Size of the total moment, μB/cell: 0.00
data_TaP2H
_symmetry_space_group_name_H-M 'I -4 2 d'
_symmetry_Int_Tables_number 122
_symmetry_space_group_name_Hall 'I -4 2bw'
_cell_length_a 5.715
_cell_length_b 5.715
_cell_length_c 5.893
_cell_angle_alpha 90.00
_cell_angle_beta 90.00
_cell_angle_gamma 90.00
loop_
_atom_site_label
_atom_site_fract_x
_atom_site_fract_y
_atom_site_fract_z
_atom_site_occupancy
Ta1 0.000 0.000 0.000 1
P1 0.152 0.250 0.625 1
H1 0.000 0.000 0.500 1

=====

Which one sits at the bottom of the stability order? entry w does.

=====

Entry w
# Tc2PH | Alexandria | GGA-PBE | optimized geometry
# Crystal system: orthorhombic
# Size of the total moment, μB/cell: 0.00
data_Tc2PH
_symmetry_space_group_name_H-M 'P n m a'
_symmetry_Int_Tables_number 62
_symmetry_space_group_name_Hall '-P 2ac 2n'
_cell_length_a 5.773
_cell_length_b 3.015
_cell_length_c 10.131
_cell_angle_alpha 90.00
_cell_angle_beta 90.00
_cell_angle_gamma 90.00
loop_
_atom_site_label
_atom_site_fract_x
_atom_site_fract_y
_atom_site_fract_z
_atom_site_occupancy
Tc1 0.149 0.250 0.220 1
Tc2 0.199 0.250 0.935 1
P1 0.099 0.250 0.611 1
H1 0.021 0.750 0.931 1

=====

Entry x
# Tc2PH | Alexandria | GGA-PBE | optimized geometry
# Crystal system: tetragonal
# Size of the total moment, μB/cell: 0.00
data_Tc2PH
_symmetry_space_group_name_H-M 'I -4 2 d'
_symmetry_Int_Tables_number 122
_symmetry_space_group_name_Hall 'I -4 2bw'
_cell_length_a 4.533
_cell_length_b 4.533
_cell_length_c 10.102
_cell_angle_alpha 90.00
_cell_angle_beta 90.00
_cell_angle_gamma 90.00
loop_
_atom_site_label
_atom_site_fract_x
_atom_site_fract_y
_atom_site_fract_z
_atom_site_occupancy
Tc1 0.146 0.250 0.125 1
P1 0.000 0.000 0.500 1
H1 0.000 0.000 0.000 1

=====

Entry y
# Tc2PH | Alexandria | GGA-PBE | optimized geometry
# Crystal system: cubic
# Size of the total moment, μB/cell: 0.00
data_Tc2PH
_symmetry_space_group_name_H-M 'F m -3 m'
_symmetry_Int_Tables_number 225
_symmetry_space_group_name_Hall '-F 4 2 3'
_cell_length_a 5.656
_cell_length_b 5.656
_cell_length_c 5.656
_cell_angle_alpha 90.00
_cell_angle_beta 90.00
_cell_angle_gamma 90.00
loop_
_atom_site_label
_atom_site_fract_x
_atom_site_fract_y
_atom_site_fract_z
_atom_site_occupancy
Tc1 0.250 0.250 0.250 1
P1 0.000 0.000 0.000 1
H1 0.000 0.000 0.500 1

=====

Which one sits at the bottom of the stability order? entry x does.